# 1
The following is a DFT calculation (PBE) of an optimized crystal structure of Ce6Os2Pd.

ΔE to the lowest computed polymorph = 0 meV per atom
E_form = -0.2893 eV per atom
symmetry = C2/m, No. 12

a = 5.5896 Å, b = 5.5896 Å, c = 8.6551 Å
α = 97.75°, β = 97.75°, γ = 51.55°
With the nearest neighbours (Å) after each atom.
Element x y z (fractional)
Ce1 0.0484 0.0484 0.3496  3 Ce 2.91-2.93, 3 Os 2.99-3.01, 1 Pd 2.99
Ce2 0.3152 0.3152 0.9149  1 Os 2.54
Ce3 0.3835 0.3835 0.3221  3 Os 2.93-3.00, 2 Ce 2.93
Ce4 0.6165 0.6165 0.6779  3 Os 2.93-3.00, 2 Ce 2.93
Ce5 0.6848 0.6848 0.0851  1 Os 2.54
Ce6 0.9516 0.9516 0.6504  3 Ce 2.91-2.93, 3 Os 2.99-3.01, 1 Pd 2.99
Os1 0.2764 0.2764 0.6186  1 Ce 2.54
Os2 0.7236 0.7236 0.3814  1 Ce 2.54
Pd1 0.0000 0.0000 0.0000  6 Ce 2.99-3.08

***

# 2
The following is a DFT calculation (PBE) of an optimized crystal structure of AcNdHg4.

ΔE to the lowest computed polymorph = 215 meV per atom
E_form = -0.2228 eV per atom
symmetry = P4/mmm, No. 123

a = 4.6080 Å, b = 4.6080 Å, c = 9.3037 Å
α = 90.00°, β = 90.00°, γ = 90.00°
With the nearest neighbours (Å) after each atom.
Element x y z (fractional)
Ac1 0.0000 0.0000 0.0000  8 Hg 3.36
Nd1 0.5000 0.5000 0.5000  8 Hg 3.19
Hg1 0.0000 0.5000 0.2636  2 Nd 3.19, 4 Hg 3.26, 2 Ac 3.36
Hg2 0.0000 0.5000 0.7364  2 Nd 3.19, 4 Hg 3.26, 2 Ac 3.36
Hg3 0.5000 0.0000 0.2636  2 Nd 3.19, 4 Hg 3.26, 2 Ac 3.36
Hg4 0.5000 0.0000 0.7364  2 Nd 3.19, 4 Hg 3.26, 2 Ac 3.36

***

# 3
The following is a DFT calculation (PBE) of an optimized crystal structure of NaMgNb.

ΔE to the lowest computed polymorph = 340 meV per atom
E_form = 0.5173 eV per atom
symmetry = Imma, No. 74

a = 5.9048 Å, b = 5.9048 Å, c = 5.9048 Å
α = 132.35°, β = 113.87°, γ = 85.51°
With the nearest neighbours (Å) after each atom.
Element x y z (fractional)
Na1 0.4101 0.1601 0.2500  2 Na 2.85, 1 Nb 3.14
Na2 0.5899 0.8399 0.7500  2 Na 2.85, 1 Nb 3.14
Mg1 0.0000 0.5000 0.5000  6 Nb 3.05-3.37, 6 Na 3.20-3.36, 2 Mg 3.22
Mg2 0.5000 0.5000 0.0000  6 Nb 3.05-3.37, 6 Na 3.20-3.36, 2 Mg 3.22
Nb1 0.0485 0.7985 0.2500  2 Nb 2.53
Nb2 0.9515 0.2015 0.7500  2 Nb 2.53

***

# 4
The following is a DFT calculation (PBE) of an optimized crystal structure of Mn2Sb.

energy relative to the elements, uncorrected = 1.5 eV per formula unit
symmetry = P6/mmm, No. 191

a = 3.9179 Å, b = 3.9179 Å, c = 3.4022 Å
α = 90.00°, β = 90.00°, γ = 120.00°
With the nearest neighbours (Å) after each atom.
Element x y z (fractional)
Mn1 0.3333 0.6667 0.0000  3 Mn 2.26
Mn2 0.6667 0.3333 0.0000  3 Mn 2.26
Sb1 0.0000 0.0000 0.5000  12 Mn 2.83

***

# 5
The following is a DFT calculation (PBE) of an optimized crystal structure of DyTh2Ni.

ΔE to the lowest computed polymorph = 157 meV per atom
E_form = -0.0633 eV per atom
symmetry = R3m, No. 160

a = 9.5679 Å, b = 9.5679 Å, c = 9.5679 Å
α = 22.48°, β = 22.48°, γ = 22.48°
With the nearest neighbours (Å) after each atom.
Element x y z (fractional)
Dy1 0.0000 0.0000 0.0000  6 Th 3.53-3.63, 6 Dy 3.73
Th1 0.5667 0.5667 0.5667  3 Ni 2.79
Th2 0.7713 0.7713 0.7713  3 Ni 2.82
Ni1 0.1700 0.1700 0.1700  6 Th 2.79-2.82

***

# 6
The following is a DFT calculation (PBE) of an optimized crystal structure of LaZr3Cl.

ΔE to the lowest computed polymorph = 1417 meV per atom
energy relative to the elements, uncorrected = 6.7 eV per formula unit
symmetry = Pm-3m, No. 221

a = 5.2535 Å, b = 5.2535 Å, c = 5.2535 Å
α = 90.00°, β = 90.00°, γ = 90.00°
With the nearest neighbours (Å) after each atom.
Element x y z (fractional)
La1 0.0000 0.0000 0.0000  6 Zr 2.63
Zr1 0.0000 0.0000 0.5000  2 La 2.63
Zr2 0.0000 0.5000 0.0000  2 La 2.63
Zr3 0.5000 0.0000 0.0000  2 La 2.63
Cl1 0.5000 0.5000 0.5000  12 Zr 3.71

***

# 7
The following is a DFT calculation (PBE) of an optimized crystal structure of BeCo3W.

ΔE to the lowest computed polymorph = 0 meV per atom
E_form = 0.4279 eV per atom
symmetry = Pm-3m, No. 221

a = 3.8178 Å, b = 3.8178 Å, c = 3.8178 Å
α = 90.00°, β = 90.00°, γ = 90.00°
With the nearest neighbours (Å) after each atom.
Element x y z (fractional)
Be1 0.0000 0.0000 0.0000  6 Co 1.91
Co1 0.0000 0.0000 0.5000  2 Be 1.91
Co2 0.0000 0.5000 0.0000  2 Be 1.91
Co3 0.5000 0.0000 0.0000  2 Be 1.91
W1 0.5000 0.5000 0.5000  12 Co 2.70

***

# 8
The following is a DFT calculation (PBE) of an optimized crystal structure of CaCO2F.

energy relative to the elements, uncorrected = -4.2 eV per formula unit
symmetry = P4/mmm, No. 123

a = 3.4968 Å, b = 3.4968 Å, c = 3.9541 Å
α = 90.00°, β = 90.00°, γ = 90.00°
With the nearest neighbours (Å) after each atom.
Element x y z (fractional)
Ca1 0.0000 0.0000 0.0000  4 F 2.47, 8 O 2.64
C1 0.5000 0.5000 0.5000  4 O 1.75
O1 0.0000 0.5000 0.5000  2 C 1.75
O2 0.5000 0.0000 0.5000  2 C 1.75
F1 0.5000 0.5000 0.0000  2 C 1.98

***

# 9
The following is a DFT calculation (PBE) of an optimized crystal structure of La5Ge2Te.

energy relative to the elements, uncorrected = -6.9 eV per formula unit
symmetry = I4/mcm, No. 140

a = 9.1710 Å, b = 9.1710 Å, c = 9.1710 Å
α = 126.10°, β = 126.10°, γ = 79.72°
With the nearest neighbours (Å) after each atom.
Element x y z (fractional)
La1 0.0000 0.0000 0.0000  4 Ge 3.16, 2 Te 3.52
La2 0.0104 0.5104 0.8014  3 Ge 3.06-3.19
La3 0.2090 0.0104 0.5000  3 Ge 3.06-3.19
La4 0.2910 0.7910 0.8014  3 Ge 3.06-3.19
La5 0.4896 0.2910 0.5000  3 Ge 3.06-3.19
La6 0.5000 0.5000 0.0000  4 Ge 3.16, 2 Te 3.52
La7 0.5104 0.7090 0.5000  3 Ge 3.06-3.19
La8 0.7090 0.2090 0.1986  3 Ge 3.06-3.19
La9 0.7910 0.9896 0.5000  3 Ge 3.06-3.19
La10 0.9896 0.4896 0.1986  3 Ge 3.06-3.19
Ge1 0.1508 0.3492 0.5000  8 La 3.06-3.19
Ge2 0.3492 0.8492 0.1984  8 La 3.06-3.19
Ge3 0.6508 0.1508 0.8016  8 La 3.06-3.19
Ge4 0.8492 0.6508 0.5000  8 La 3.06-3.19
Te1 0.2500 0.2500 0.0000  10 La 3.52
Te2 0.7500 0.7500 0.0000  10 La 3.52

***

# 10
The following is a DFT calculation (PBE) of an optimized crystal structure of ZrIr2Os.

ΔE to the lowest computed polymorph = 652 meV per atom
E_form = 0.1834 eV per atom
symmetry = I-42d, No. 122

a = 9.4785 Å, b = 9.4785 Å, c = 9.4785 Å
α = 155.93°, β = 155.93°, γ = 34.30°
With the nearest neighbours (Å) after each atom.
Element x y z (fractional)
Zr1 0.0000 0.0000 0.0000  4 Ir 2.70, 4 Os 2.80
Zr2 0.7500 0.2500 0.5000  4 Ir 2.70, 4 Os 2.80
Ir1 0.1523 0.6250 0.0273  2 Os 2.62, 2 Ir 2.65, 2 Zr 2.70
Ir2 0.3750 0.4023 0.5273  2 Os 2.62, 2 Ir 2.65, 2 Zr 2.70
Ir3 0.5977 0.1250 0.9727  2 Os 2.62, 2 Ir 2.65, 2 Zr 2.70
Ir4 0.8750 0.8477 0.4727  2 Os 2.62, 2 Ir 2.65, 2 Zr 2.70
Os1 0.2500 0.7500 0.5000  4 Ir 2.62, 4 Zr 2.80
Os2 0.5000 0.5000 0.0000  4 Ir 2.62, 4 Zr 2.80

***

# 11
The following is a DFT calculation (PBE) of an optimized crystal structure of Pm2PrAg4.

E_form = -0.0831 eV per atom
symmetry = I4/mmm, No. 139

a = 7.5035 Å, b = 7.5035 Å, c = 7.5035 Å
α = 137.08°, β = 137.08°, γ = 62.31°
With the nearest neighbours (Å) after each atom.
Element x y z (fractional)
Pm1 0.2222 0.2222 0.0000  4 Ag 3.03
Pm2 0.7778 0.7778 0.0000  4 Ag 3.03
Pr1 0.5000 0.5000 0.0000  8 Ag 3.16
Ag1 0.1218 0.6218 0.5000  2 Pm 3.03, 2 Ag 3.13-3.29, 2 Pr 3.16
Ag2 0.3782 0.8782 0.5000  2 Pm 3.03, 2 Ag 3.13-3.29, 2 Pr 3.16
Ag3 0.6218 0.1218 0.5000  2 Pm 3.03, 2 Ag 3.13-3.29, 2 Pr 3.16
Ag4 0.8782 0.3782 0.5000  2 Pm 3.03, 2 Ag 3.13-3.29, 2 Pr 3.16

***

# 12
The following is a DFT calculation (PBE) of an optimized crystal structure of Ti5In4Hg.

E_form = -0.1185 eV per atom
symmetry = P4/mmm, No. 123

a = 3.0059 Å, b = 3.0059 Å, c = 21.1036 Å
α = 90.00°, β = 90.00°, γ = 90.00°
With the nearest neighbours (Å) after each atom.
Element x y z (fractional)
Ti1 0.0000 0.0000 0.0000  4 Ti 3.01, 8 In 3.01
Ti2 0.0000 0.0000 0.2018  8 In 3.00-3.01, 4 Ti 3.01
Ti3 0.0000 0.0000 0.4024  4 Hg 2.96, 4 In 3.00, 4 Ti 3.01
Ti4 0.0000 0.0000 0.5976  4 Hg 2.96, 4 In 3.00, 4 Ti 3.01
Ti5 0.0000 0.0000 0.7982  8 In 3.00-3.01, 4 Ti 3.01
In1 0.5000 0.5000 0.1009  4 In 3.01, 8 Ti 3.01
In2 0.5000 0.5000 0.3023  8 Ti 3.00, 4 In 3.01
In3 0.5000 0.5000 0.6977  8 Ti 3.00, 4 In 3.01
In4 0.5000 0.5000 0.8991  4 In 3.01, 8 Ti 3.01
Hg1 0.5000 0.5000 0.5000  8 Ti 2.96, 4 Hg 3.01

***

Raw total energy across the listed records, respectively: -7.318; -1.903; -3.810; -7.000; -6.369; -5.147; -7.172; -5.451; -5.487; -9.192; -3.752; -5.191 eV per atom.